# 1
# MnCoSi2

A relaxed structure of MnCoSi2 (GGA-PBE, Alexandria via LeMat-Bulk).

For the density of states at the Fermi level, the calculation gives 2.22 states/eV per cell. The uncorrected formation energy comes out at -327 meV per atom. Its electronic total energy is -7.107 eV/atom.

It has space group Pmm2 (No. 25), with a = 2.7813 Å, b = 3.3920 Å, c = 4.9262 Å, α = 90.00°, β = 90.00° and γ = 90.00°. Symmetry generates all atoms from Mn at (0.0000, 0.0000, 0.0000), Co at (0.5000, 0.5000, 0.6877), Si at (0.0000, 0.0000, 0.5015) and Si at (0.5000, 0.5000, 0.2009).



# 2
# CaGaSbTe2

A relaxed structure of CaGaSbTe2 (GGA-PBE, Alexandria via LeMat-Bulk).

For the density of states at the Fermi level, the calculation gives 4.88 states/eV per cell. The uncorrected formation energy comes out at -154 meV per atom. Its electronic total energy is -3.241 eV/atom.

It has space group P4/mmm (No. 123), with a = 5.6148 Å, b = 5.6148 Å, c = 5.1277 Å, α = 90.00°, β = 90.00° and γ = 90.00°. Symmetry generates all atoms from Ca at (0.0000, 0.0000, 0.0000), Ga at (0.5000, 0.5000, 0.5000), Sb at (0.5000, 0.5000, 0.0000) and Te at (0.0000, 0.5000, 0.5000).